Density functional theory data (PBE+U) for a relaxed CaMg6NiO8 crystal.

Values from the calculation:
- calculated total energy (eV/atom) = -5.833

a b c (Å): 4.3678 4.3678 8.6169
angles (deg): 90.00 90.00 90.00
Space group P4/mmm (No. 123)
One atom of each set of equivalent atoms:
Ca  0.0000  0.0000  0.0000 x1
Mg  0.0000  0.5000  0.2575 x4
Mg  0.5000  0.5000  0.0000 x1
Mg  0.5000  0.5000  0.5000 x1
Ni  0.0000  0.0000  0.5000 x1
O  0.0000  0.0000  0.2644 x2
O  0.0000  0.5000  0.0000 x2
O  0.0000  0.5000  0.5000 x2
O  0.5000  0.5000  0.2511 x2